First-principles (PBE) data for crystalline La6CuNi2 at its relaxed geometry, as listed in Alexandria.

Total moment ... 0.00 μB/cell
DOS at the Fermi energy ... 0.93 states/eV per atom
Formation energy ... -1.60 eV per formula unit

abc: 8.688 8.688 8.688
angles: 106.54 108.70 113.26
Sites, in units of the cell vectors:
Ni1 0.500 0.372 0.872
Ni2 0.349 0.000 0.349
Ni3 0.651 0.000 0.651
Ni4 0.500 0.628 0.128
La1 0.306 0.637 0.330
La2 0.810 0.772 0.582
La3 0.883 0.710 0.173
La4 0.537 0.710 0.827
La5 0.694 0.363 0.670
La6 0.810 0.228 0.039
La7 0.694 0.024 0.330
La8 0.190 0.772 0.961
La9 0.463 0.290 0.173
La10 0.117 0.290 0.827
La11 0.190 0.228 0.418
La12 0.306 0.976 0.670
Cu1 0.000 0.500 0.500
Cu2 0.000 0.000 0.000

=====

First-principles (PBE) data for crystalline SrFe2Ru2 at its relaxed geometry, as listed in Alexandria.

Total moment ... 5.18 μB/cell
DOS at the Fermi energy ... 1.10 states/eV per atom
Formation energy ... 1.65 eV per formula unit

abc: 4.232 4.232 5.860
angles: 68.83 68.83 90.00
Last column: magnetic moment on the atom in μB.
Sites, in units of the cell vectors:
Ru1 0.621 0.621 0.757  0.07
Ru2 0.379 0.379 0.243  0.07
Fe1 0.750 0.250 0.500  2.48
Fe2 0.250 0.750 0.500  2.48
Sr1 0.000 0.000 0.000  -0.01